BAs2Pt (GGA-PBE, optimized geometry); N(E_F) = 0.525 states/eV per atom; calculated formation energy = 0.0198 eV/atom; crystal system = tetragonal; E = -5.485 eV per atom; total magnetization = 0.000 μB per cell; space-group type = I-42d, No. 122
1.0
-0.655 -0.017 5.388
-4.455 -3.051 -0.551
0.091 -5.454 2.728
As B Pt
4 2 2
Direct
0.570 0.125 0.250
0.180 0.625 0.250
0.375 0.430 0.750
0.875 0.820 0.750
0.500 0.500 0.000
0.250 0.750 0.500
0.000 0.000 0.000
0.750 0.250 0.500